The following is a DFT calculation (PBE-GGA) of an optimized crystal structure of PaCdBi.

a = 5.996 Å, b = 5.996 Å, c = 5.996 Å
α = 141.80°, β = 141.80°, γ = 55.13°
Atoms (fractional coordinates):
1 Pa 0.000 0.000 0.000
2 Cd 0.328 0.328 0.000
3 Bi 0.670 0.670 0.000

Its energy of formation from the pure elements is 157.8 meV/atom. For the distance to the lowest polymorph of the same formula, the calculation gives 87 meV per atom.